Entry 1:
## Nd2TlP (GGA-PBE)

Data for crystalline Nd2TlP at its relaxed geometry.

abc: 4.0344 4.0344 8.6937
angles: 76.58 76.58 60.00
Last column: nearest neighbours and their distance in Å.
Element x y z (fractional)
Nd 0.0657 0.0657 0.8029  3 P 2.84
Nd 0.2670 0.2670 0.1989  3 P 2.87
Tl 0.4999 0.4999 0.5003  6 Nd 3.44
P 0.6674 0.6674 0.9979  6 Nd 2.84-2.87


Entry 2:
## Nd3TlP (GGA-PBE)

Data for crystalline Nd3TlP at its relaxed geometry.

abc: 5.4793 5.4793 5.4793
angles: 90.00 90.00 90.00
Last column: nearest neighbours and their distance in Å.
Element x y z (fractional)
P 0.0000 0.0000 0.0000  6 Nd 2.74
Tl 0.5000 0.5000 0.5000  12 Nd 3.87
Nd 0.0000 0.5000 0.0000  2 P 2.74
Nd 0.0000 0.0000 0.5000  2 P 2.74
Nd 0.5000 0.0000 0.0000  2 P 2.74


Entry 3:
## Nd3TlP (GGA-PBE)

Data for crystalline Nd3TlP at its relaxed geometry.

abc: 4.1320 9.1940 15.8950
angles: 90.00 90.00 90.00
Last column: nearest neighbours and their distance in Å.
Element x y z (fractional)
Nd 0.2500 0.3397 0.5167  2 P 2.83
Nd 0.7500 0.8142 0.2067  1 P 2.78
Nd 0.7500 0.5263 0.8933  3 P 2.86
Nd 0.7500 0.0263 0.6067  3 P 2.86
Nd 0.7500 0.6603 0.4833  2 P 2.83
Nd 0.2500 0.9737 0.3933  3 P 2.86
Nd 0.2500 0.8397 0.9833  2 P 2.83
Nd 0.7500 0.3142 0.2933  1 P 2.78
Nd 0.2500 0.6858 0.7067  1 P 2.78
Nd 0.2500 0.1858 0.7933  1 P 2.78
Nd 0.7500 0.1603 0.0167  2 P 2.83
Nd 0.2500 0.4737 0.1067  3 P 2.86
Tl 0.7500 0.8997 0.8188  8 Nd 3.36-3.63
Tl 0.2500 0.1003 0.1812  8 Nd 3.36-3.63
Tl 0.7500 0.3997 0.6812  8 Nd 3.36-3.63
Tl 0.2500 0.6003 0.3188  8 Nd 3.36-3.63
P 0.2500 0.3319 0.9464  6 Nd 2.78-2.86
P 0.2500 0.8319 0.5536  6 Nd 2.78-2.86
P 0.7500 0.1681 0.4464  6 Nd 2.78-2.86
P 0.7500 0.6681 0.0536  6 Nd 2.78-2.86


Entry 4:
## Nd2TlP (GGA-PBE)

Data for crystalline Nd2TlP at its relaxed geometry.

abc: 4.0871 4.0871 8.4005
angles: 75.92 75.92 60.00
Last column: nearest neighbours and their distance in Å.
Element x y z (fractional)
P 0.0000 0.0000 0.0000  6 Nd 2.88
Tl 0.5000 0.5000 0.5000  6 Nd 3.35
Nd 0.7349 0.7349 0.7952  3 P 2.88
Nd 0.2651 0.2651 0.2047  3 P 2.88


Here are the calculated spin magnetization numbers, same order: 0.000 0.000 0.000 0.000 (μB/atom).
Here are the calculated distance to the lowest polymorph of the same formula numbers, same order: 4.53 14.63 0.00 0.00 (kJ per mole of atoms).
Here are the calculated DFT formation energy numbers, same order: -0.897 -0.633 -0.785 -0.944 (eV/atom).